## CaAlRu2 (GGA-PBE)

Data for an optimized crystal structure of CaAlRu2.

Cell: 2.895 2.895 8.305 Å, 90.00 90.00 90.00°
Space group P4mm (No. 99)
Symmetry-distinct sites (fractional):
Ca (0.000, 0.000, 0.000) [1 per cell]
Al (0.500, 0.500, 0.686) [1 per cell]
Ru (0.000, 0.000, 0.475) [1 per cell]
Ru (0.500, 0.500, 0.282) [1 per cell]

***

## CaAl2Ru (GGA-PBE)

Data for an optimized crystal structure of CaAl2Ru.

Cell: 3.084 3.972 6.736 Å, 90.00 90.00 90.00°
Space group Pmm2 (No. 25)
Symmetry-distinct sites (fractional):
Ca (0.000, 0.000, 0.000) [1 per cell]
Al (0.500, 0.000, 0.588) [1 per cell]
Al (0.500, 0.500, 0.314) [1 per cell]
Ru (0.000, 0.500, 0.621) [1 per cell]

***

Looking at Fermi-level density of states for the records above, in order, we have 3.1, 3.2 states/eV/f.u..
Looking at DFT formation energy for the records above, in order, we have -48.9, -181.6 meV/atom.